Computed, not measured: a geometry-optimized KNaPtO3 structure at the PBE level of DFT.

Output
- Crystal system: orthorhombic
- Total DFT energy (no corrections): -4.789 eV per atom
- Total magnetic moment: 0.00 μB/atom
- E_form (uncorrected): -20.77 kcal/mol of atoms

Geometry as POSCAR:
```
KNaPtO3
1.0
-4.539 -0.342 4.049
3.814 -0.118 4.266
-2.061 5.530 -1.844
O Pt K Na
6 2 2 2
direct
0.250 0.203 0.406
0.000 0.231 0.000
0.500 0.231 0.000
0.000 0.769 0.000
0.750 0.797 0.594
0.500 0.769 0.000
0.750 0.980 0.959
0.250 0.020 0.041
0.750 0.293 0.586
0.250 0.707 0.414
0.250 0.406 0.812
0.750 0.594 0.188
```